Density functional theory data (meta-GGA SCAN) for a PBEsol-optimized structure of YAl2Fe10.

Unit cell a=6.334 b=6.334 c=8.135 alpha=90.00 beta=90.00 gamma=98.47
Fractional coordinates of all 26 atoms:
Fe 0.628 0.859 0.750
Fe 0.854 0.146 0.894
Fe 0.233 0.233 0.500
Fe 0.372 0.141 0.250
Fe 0.146 0.854 0.106
Fe 0.233 0.233 0.000
Fe 0.854 0.146 0.606
Fe 0.513 0.758 0.250
Fe 0.141 0.372 0.750
Fe 0.601 0.399 0.421
Fe 0.399 0.601 0.579
Fe 0.487 0.242 0.750
Fe 0.767 0.767 0.000
Fe 0.758 0.513 0.750
Fe 0.242 0.487 0.250
Fe 0.399 0.601 0.921
Fe 0.767 0.767 0.500
Fe 0.146 0.854 0.394
Fe 0.859 0.628 0.250
Fe 0.601 0.399 0.079
Al 0.000 0.500 0.500
Al 0.500 0.000 0.000
Al 0.000 0.500 0.000
Al 0.500 0.000 0.500
Y 0.870 0.130 0.250
Y 0.130 0.870 0.750

Results
ΔH_f (0 K)   -94 meV/atom
Raw total energy   -17.374 eV/atom
Total magnetic moment   1.719 μB per atom